No. 1
The following is a DFT calculation (PBE) of crystalline SmGdTm4 at its relaxed geometry.

* total magnetization: 8.9 μB/f.u.
* formation energy: 0.2554 eV per atom

a = 9.258 Å, b = 9.258 Å, c = 9.258 Å
α = 90.00°, β = 90.00°, γ = 90.00°
Space group F-43m (No. 216)
Asymmetric unit:
Sm 0.000 0.000 0.000
Gd 0.250 0.250 0.750
Tm 0.125 0.125 0.375



No. 2
The following is a DFT calculation (PBE) of crystalline SmGd4Tm at its relaxed geometry.

* total magnetization: 28.6 μB/f.u.
* formation energy: 0.2561 eV per atom

a = 9.302 Å, b = 9.302 Å, c = 9.302 Å
α = 90.00°, β = 90.00°, γ = 90.00°
Space group F-43m (No. 216)
Asymmetric unit:
Sm 0.000 0.000 0.000
Gd 0.125 0.125 0.375
Tm 0.250 0.250 0.750



No. 3
The following is a DFT calculation (PBE) of crystalline SmGd2Tm at its relaxed geometry.

* total magnetization: 14.6 μB/f.u.
* distance to the lowest polymorph of the same formula: 0.004 eV per atom
* formation energy: 0.0277 eV per atom

a = 3.5692 Å, b = 3.5692 Å, c = 34.9344 Å
α = 90.00°, β = 90.00°, γ = 120.00°
Space group R-3m (No. 166, hexagonal axes)
Asymmetric unit:
Sm 0.0000 0.0000 0.0000
Gd 0.0000 0.0000 0.2486
Tm 0.0000 0.0000 0.5000



No. 4
The following is a DFT calculation (PBE) of crystalline SmGdTm2 at its relaxed geometry.

* total magnetization: 7.3 μB/f.u.
* distance to the lowest polymorph of the same formula: 0.004 eV per atom
* formation energy: 0.0249 eV per atom

a = 3.5509 Å, b = 3.5509 Å, c = 34.5372 Å
α = 90.00°, β = 90.00°, γ = 120.00°
Space group R-3m (No. 166, hexagonal axes)
Asymmetric unit:
Sm 0.0000 0.0000 0.0000
Gd 0.0000 0.0000 0.5000
Tm 0.0000 0.0000 0.2498



No. 5
The following is a DFT calculation (PBE) of crystalline SmGd2Tm at its relaxed geometry.

* total magnetization: 16.1 μB/f.u.
* distance to the lowest polymorph of the same formula: 0.077 eV per atom
* formation energy: 0.1008 eV per atom

a = 8.036 Å, b = 8.036 Å, c = 8.036 Å
α = 90.00°, β = 90.00°, γ = 90.00°
Space group Fm-3m (No. 225)
Asymmetric unit:
Sm 0.000 0.000 0.000
Gd 0.250 0.250 0.250
Tm 0.000 0.000 0.500



No. 6
The following is a DFT calculation (PBE) of crystalline SmGd2Tm at its relaxed geometry.

* total magnetization: 14.5 μB/f.u.
* distance to the lowest polymorph of the same formula: 0.004 eV per atom
* formation energy: 0.0280 eV per atom

a = 3.569 Å, b = 3.569 Å, c = 10.087 Å
α = 90.00°, β = 90.00°, γ = 90.00°
Space group P4/mmm (No. 123)
Asymmetric unit:
Sm 0.000 0.000 0.000
Gd 0.500 0.500 0.254
Tm 0.000 0.000 0.500



No. 7
The following is a DFT calculation (PBE) of crystalline SmGd2Tm at its relaxed geometry.

* total magnetization: 14.6 μB/f.u.
* distance to the lowest polymorph of the same formula: 0.000 eV per atom
* formation energy: 0.0239 eV per atom

a = 5.037 Å, b = 5.037 Å, c = 5.055 Å
α = 90.00°, β = 90.00°, γ = 90.00°
Space group P4/mmm (No. 123)
Asymmetric unit:
Sm 0.000 0.000 0.000
Gd 0.000 0.500 0.500
Tm 0.500 0.500 0.000



No. 8
The following is a DFT calculation (PBE) of crystalline SmGdTm2 at its relaxed geometry.

* total magnetization: 7.6 μB/f.u.
* distance to the lowest polymorph of the same formula: 0.082 eV per atom
* formation energy: 0.1026 eV per atom

a = 7.990 Å, b = 7.990 Å, c = 7.990 Å
α = 90.00°, β = 90.00°, γ = 90.00°
Space group Fm-3m (No. 225)
Asymmetric unit:
Sm 0.000 0.000 0.000
Gd 0.000 0.000 0.500
Tm 0.250 0.250 0.250



No. 9
The following is a DFT calculation (PBE) of crystalline SmGdTm2 at its relaxed geometry.

* total magnetization: 7.3 μB/f.u.
* distance to the lowest polymorph of the same formula: 0.007 eV per atom
* formation energy: 0.0285 eV per atom

a = 3.555 Å, b = 3.555 Å, c = 9.973 Å
α = 90.00°, β = 90.00°, γ = 90.00°
Space group P4/mmm (No. 123)
Asymmetric unit:
Sm 0.000 0.000 0.000
Gd 0.000 0.000 0.500
Tm 0.500 0.500 0.251



No. 10
The following is a DFT calculation (PBE) of crystalline SmGdTmZn at its relaxed geometry.

* total magnetization: 7.6 μB/f.u.
* formation energy: 0.0143 eV per atom

a = 7.574 Å, b = 7.574 Å, c = 7.574 Å
α = 90.00°, β = 90.00°, γ = 90.00°
Space group F-43m (No. 216)
Asymmetric unit:
Sm 0.000 0.000 0.000
Gd 0.000 0.000 0.500
Tm 0.250 0.250 0.750
Zn 0.250 0.250 0.250



No. 11
The following is a DFT calculation (PBE) of crystalline SmGd2U at its relaxed geometry.

* total magnetization: 12.3 μB/f.u.
* formation energy: 0.2737 eV per atom

a = 3.4143 Å, b = 3.4143 Å, c = 34.8364 Å
α = 90.00°, β = 90.00°, γ = 120.00°
Space group R-3m (No. 166, hexagonal axes)
Asymmetric unit:
Sm 0.0000 0.0000 0.0000
Gd 0.0000 0.0000 0.2446
U 0.0000 0.0000 0.5000



No. 12
The following is a DFT calculation (PBE) of crystalline SmGd2V at its relaxed geometry.

* total magnetization: 11.6 μB/f.u.
* formation energy: 0.5891 eV per atom

a = 3.4016 Å, b = 3.4016 Å, c = 34.4142 Å
α = 90.00°, β = 90.00°, γ = 120.00°
Space group R-3m (No. 166, hexagonal axes)
Asymmetric unit:
Sm 0.0000 0.0000 0.0000
Gd 0.0000 0.0000 0.4211
V 0.0000 0.0000 0.5000